Li2Ni3SbO8 | PBE with a Hubbard U | optimized geometry

Computed properties:
Size of the total moment, μB per formula unit: 3.0
Energy above the lowest structure with this stoichiometry, meV/atom: 0

abc: 5.8749 5.8749 14.8128
angles: 90.00 90.00 120.00
Space group R-3 (No. 148, hexagonal axes)
Inequivalent atoms, fractional coordinates:
Li 0.0000 0.0000 0.1291 [6 per cell]
Ni 0.0000 0.5000 0.0000 [9 per cell]
Sb 0.0000 0.0000 0.5000 [3 per cell]
O 0.0000 0.0000 0.2716 [6 per cell]
O 0.0264 0.4851 0.2515 [18 per cell]